Y4Zr2Pb3C3, optimized geometry, DFT PBE-GGA; total energy = -177.3 eV/cell; SG = C2/c
1.0
5.341 -3.087 0.000
5.341 3.087 0.000
-3.626 0.000 15.629
Y Zr Pb C
8 4 6 6
Direct
0.035 0.191 0.087
0.131 0.304 0.413
0.191 0.035 0.587
0.304 0.131 0.913
0.696 0.869 0.087
0.809 0.965 0.413
0.869 0.696 0.587
0.965 0.809 0.913
0.353 0.525 0.075
0.475 0.647 0.425
0.525 0.353 0.575
0.647 0.475 0.925
0.107 0.893 0.250
0.272 0.418 0.752
0.418 0.272 0.252
0.582 0.728 0.748
0.728 0.582 0.248
0.893 0.107 0.750
0.000 0.500 0.000
0.193 0.653 0.500
0.347 0.807 0.000
0.500 0.000 0.500
0.653 0.193 0.000
0.807 0.347 0.500